No. 1
The following is a PBE-GGA calculation of a relaxed TbPr6Al crystal, from Alexandria.

The calculation puts the energy above the most stable polymorph in this dataset at 0.00 eV/f.u. The calculation puts the total energy at -4.690 eV/atom. The calculation puts the formation energy at -0.059 eV per atom. The total magnetic moment comes out at 0.0 μB per cell.

It has space group P4/mmm (No. 123), with a = 5.028 Å, b = 5.028 Å, c = 10.334 Å, α = 90.00°, β = 90.00° and γ = 90.00°. The distinct sites, in fractional coordinates, are Tb at (0.000, 0.000, 0.000), Pr at (0.000, 0.500, 0.262), Pr at (0.500, 0.500, 0.000), Pr at (0.500, 0.500, 0.500) and Al at (0.000, 0.000, 0.500).

---

No. 2
The following is a PBE-GGA calculation of a relaxed Tb2Pr6Al crystal, from Alexandria.

The calculation puts the total energy at -4.642 eV/atom. The calculation puts the formation energy at -0.011 eV per atom. The total magnetic moment comes out at 0.0 μB per cell.

It has space group Pnnm (No. 58), with a = 10.462 Å, b = 10.467 Å, c = 5.498 Å, α = 90.00°, β = 90.00° and γ = 90.00°. The distinct sites, in fractional coordinates, are Tb at (0.215, 0.216, 0.000), Pr at (0.040, 0.312, 0.500), Pr at (0.124, 0.877, 0.000), Pr at (0.188, 0.541, 0.000) and Al at (0.000, 0.000, 0.500).

---

No. 3
The following is a PBE-GGA calculation of a relaxed Tb3PrAl8 crystal, from Alexandria.

The calculation puts the energy above the most stable polymorph in this dataset at 0.11 eV/f.u. The calculation puts the total energy at -4.550 eV/atom. The calculation puts the formation energy at -0.499 eV per atom. The total magnetic moment comes out at 0.0 μB per cell.

It has space group P3m1 (No. 156), with a = 5.6009 Å, b = 5.6009 Å, c = 9.2223 Å, α = 90.00°, β = 90.00° and γ = 120.00°. The distinct sites, in fractional coordinates, are Tb at (0.0000, 0.0000, 0.0000), Tb at (0.0000, 0.0000, 0.3635), Tb at (0.3333, 0.6667, 0.8651), Pr at (0.3333, 0.6667, 0.5009), Al at (0.0088, 0.5044, 0.1803), Al at (0.3243, 0.1622, 0.6866), Al at (0.6667, 0.3333, 0.4314) and Al at (0.6667, 0.3333, 0.9345).

---

No. 4
The following is a PBE-GGA calculation of a relaxed TbPr2Al6 crystal, from Alexandria.

The calculation puts the energy above the most stable polymorph in this dataset at 0.00 eV/f.u. The calculation puts the total energy at -4.541 eV/atom. The calculation puts the formation energy at -0.469 eV per atom. The total magnetic moment comes out at 0.0 μB per cell.

It has space group P6/mmm (No. 191), with a = 7.9689 Å, b = 7.9689 Å, c = 3.7050 Å, α = 90.00°, β = 90.00° and γ = 120.00°. The distinct sites, in fractional coordinates, are Tb at (0.0000, 0.0000, 0.0000), Pr at (0.3333, 0.6667, 0.0000) and Al at (0.0000, 0.3310, 0.5000).

---

Copy entry 1 word for word.
The following is a PBE-GGA calculation of a relaxed TbPr6Al crystal, from Alexandria.

The calculation puts the energy above the most stable polymorph in this dataset at 0.00 eV/f.u. The calculation puts the total energy at -4.690 eV/atom. The calculation puts the formation energy at -0.059 eV per atom. The total magnetic moment comes out at 0.0 μB per cell.

It has space group P4/mmm (No. 123), with a = 5.028 Å, b = 5.028 Å, c = 10.334 Å, α = 90.00°, β = 90.00° and γ = 90.00°. The distinct sites, in fractional coordinates, are Tb at (0.000, 0.000, 0.000), Pr at (0.000, 0.500, 0.262), Pr at (0.500, 0.500, 0.000), Pr at (0.500, 0.500, 0.500) and Al at (0.000, 0.000, 0.500).

---

Which value of total magnetic moment does entry 2 give?
0.0 μB per cell